A plane-wave DFT calculation with GGA+U was carried out for an optimized crystal structure of Sr3ScCo2O6.

## Properties
The calculation puts the raw total energy at -76.9 eV/cell. For the density of states at the Fermi level, the calculation gives 2.30 states/eV/cell. As for the crystal system: trigonal.

Cell and atoms, written as CIF:
```
data_Sr3ScCo2O6
_chemical_formula_sum 'Sr3 Sc1 Co2 O6'
_cell_length_a 5.8547
_cell_length_b 5.8547
_cell_length_c 6.5227
_cell_angle_alpha 90.00
_cell_angle_beta 90.00
_cell_angle_gamma 120.00
_symmetry_space_group_name_H-M 'P -3 m 1'
_symmetry_Int_Tables_number 164
_symmetry_space_group_name_Hall '-P 3 2"'
loop_
_atom_site_label
_atom_site_fract_x
_atom_site_fract_y
_atom_site_fract_z
_atom_site_occupancy
Sr1 0.0000 0.0000 0.0000 1
Sr2 0.3333 0.6667 0.6350 1
Sc1 0.0000 0.0000 0.5000 1
Co1 0.3333 0.6667 0.1813 1
O1 0.1645 0.3289 0.3047 1
```